Record 1
This record from Alexandria describes a relaxed structure of SmDy6Ho. The functional is PBE.

Unit cell a=6.035 b=6.035 c=8.511 alpha=101.86 beta=101.86 gamma=68.57
Atoms (fractional coordinates):
Sm1 0.000 0.000 0.000
Dy1 0.064 0.543 0.699
Dy2 0.372 0.372 0.074
Dy3 0.457 0.936 0.301
Dy4 0.543 0.064 0.699
Dy5 0.628 0.628 0.926
Dy6 0.936 0.457 0.301
Ho1 0.000 0.000 0.500

VASP energy, eV per atom: -4.242
Space-group type: C2/m (12)
ΔH_f (0 K), meV per atom: 372.1
Energy above the lowest structure with this stoichiometry, eV per atom: 0.351
Density, g/cm3: 7.667


Record 2
This record from Alexandria describes a relaxed structure of CeMgScAg. The functional is PBE.

Unit cell a=5.168 b=5.168 c=5.168 alpha=60.00 beta=60.00 gamma=60.00
Atoms (fractional coordinates):
Ce1 0.000 0.000 0.000
Mg1 0.250 0.250 0.250
Sc1 0.500 0.500 0.500
Ag1 0.750 0.750 0.750

VASP energy, eV per atom: -4.179
Space-group type: F-43m (216)
ΔH_f (0 K), meV per atom: -1.4
Density, g/cm3: 5.398